This record from the Alexandria database describes an optimized crystal structure of InGaSb2N. The functional is PBE.

Calculated values
V ... 110 Å³/cell
N(E_F) ... 3.03 states/eV/cell
Size of the total moment ... 0.00 μB/f.u.
Formation energy from raw total energies ... 0.512 eV/atom

Unit cell a=4.844 b=4.844 c=4.700 alpha=90.00 beta=90.00 gamma=90.00
Atoms (fractional coordinates):
In: 0.000 0.000 0.000
Ga: 0.500 0.500 0.000
Sb: 0.000 0.500 0.500
Sb: 0.500 0.000 0.500
N: 0.000 0.000 0.500